[1]
Zr2Pd2S: relaxed, GGA-PBE.

Unit cell a=7.0573 b=7.0573 c=3.8741 alpha=90.00 beta=90.00 gamma=90.00
Space group P4/mbm (No. 127)
One atom of each set of equivalent atoms:
1 Zr 0.1700 0.3300 0.0000 x4
2 Pd 0.1319 0.6319 0.5000 x4
3 S 0.0000 0.0000 0.0000 x2

Calculated values
Formation energy from raw total energies (meV/atom): -738.9
Spin magnetization (μB/cell): 0.00

***

[2]
Zr2PdS: relaxed, GGA-PBE.

Unit cell a=3.2143 b=3.2143 c=26.7180 alpha=90.00 beta=90.00 gamma=120.00
Space group R-3m (No. 166, hexagonal axes)
One atom of each set of equivalent atoms:
1 Zr 0.0000 0.0000 0.0964 x6
2 Pd 0.0000 0.0000 0.0000 x3
3 S 0.0000 0.0000 0.5000 x3

Calculated values
Formation energy from raw total energies (meV/atom): -452.1
Spin magnetization (μB/cell): 0.00

***

[3]
ZrPdS3: relaxed, GGA-PBE.

Unit cell a=4.9596 b=4.9596 c=4.9596 alpha=90.00 beta=90.00 gamma=90.00
Space group Pm-3m (No. 221)
One atom of each set of equivalent atoms:
1 Zr 0.0000 0.0000 0.0000 x1
2 Pd 0.5000 0.5000 0.5000 x1
3 S 0.0000 0.0000 0.5000 x3

Calculated values
Formation energy from raw total energies (meV/atom): -131.4
Spin magnetization (μB/cell): 1.52
Polymorph energy (0 for the lowest one) (meV/atom): 768

***

[4]
ZrPdS3: relaxed, GGA-PBE.

Unit cell a=4.6129 b=4.6129 c=4.6129 alpha=90.00 beta=90.00 gamma=90.00
Space group Pm-3m (No. 221)
One atom of each set of equivalent atoms:
1 Zr 0.0000 0.0000 0.0000 x1
2 Pd 0.5000 0.5000 0.5000 x1
3 S 0.0000 0.5000 0.5000 x3

Calculated values
Formation energy from raw total energies (meV/atom): -17.6
Spin magnetization (μB/cell): 0.00
Polymorph energy (0 for the lowest one) (meV/atom): 881

***

[5]
ZrPdS3: relaxed, GGA-PBE.

Unit cell a=3.6306 b=18.9103 c=6.2235 alpha=90.00 beta=90.00 gamma=90.00
Space group Cmc2_1 (No. 36)
One atom of each set of equivalent atoms:
1 Zr 0.0000 0.1599 0.0000 x4
2 Pd 0.0000 0.3374 0.9359 x4
3 S 0.0000 0.0869 0.3212 x4
4 S 0.0000 0.2450 0.6227 x4
5 S 0.0000 0.4029 0.2990 x4

Calculated values
Formation energy from raw total energies (meV/atom): -899.0
Spin magnetization (μB/cell): 0.00
Polymorph energy (0 for the lowest one) (meV/atom): 0

***

[6]
ZrPdS: relaxed, GGA-PBE.

Unit cell a=15.7573 b=3.7046 c=3.6978 alpha=90.00 beta=90.00 gamma=90.00
Space group Pnma (No. 62)
One atom of each set of equivalent atoms:
1 Zr 0.1369 0.2500 0.2493 x4
2 Pd 0.9999 0.2500 0.7499 x4
3 S 0.1887 0.7500 0.7491 x4

Calculated values
Formation energy from raw total energies (meV/atom): -1028.2
Spin magnetization (μB/cell): 0.00

***

[7]
Sb3Pd: relaxed, GGA-PBE.

Unit cell a=6.7850 b=6.7850 c=5.0833 alpha=90.00 beta=90.00 gamma=120.00
Space group P6_322 (No. 182)
One atom of each set of equivalent atoms:
1 Sb 0.0000 0.2988 0.0000 x6
2 Pd 0.3333 0.6667 0.2500 x2

Calculated values
Formation energy from raw total energies (meV/atom): -124.4
Spin magnetization (μB/cell): 0.00
Polymorph energy (0 for the lowest one) (meV/atom): 0

***

[8]
SbPd4: relaxed, GGA-PBE.

Unit cell a=4.1326 b=10.6248 c=4.0858 alpha=90.00 beta=90.00 gamma=90.00
Space group Cmmm (No. 65)
One atom of each set of equivalent atoms:
1 Sb 0.0000 0.0000 0.0000 x2
2 Pd 0.0000 0.1560 0.5000 x4
3 Pd 0.0000 0.3442 0.0000 x4

Calculated values
Formation energy from raw total energies (meV/atom): -279.7
Spin magnetization (μB/cell): 0.00
Polymorph energy (0 for the lowest one) (meV/atom): 0

***

[9]
SbPd: relaxed, GGA-PBE.

Unit cell a=5.3365 b=6.8118 c=9.3003 alpha=90.00 beta=90.00 gamma=90.00
Space group P2_12_12_1 (No. 19)
One atom of each set of equivalent atoms:
1 Sb 0.1080 0.1778 0.1592 x4
2 Sb 0.1923 0.3868 0.5604 x4
3 Pd 0.0425 0.5782 0.8040 x4
4 Pd 0.1852 0.0035 0.4208 x4

Calculated values
Formation energy from raw total energies (meV/atom): -278.4
Spin magnetization (μB/cell): 0.00

***

[10]
SbPd3: relaxed, GGA-PBE.

Unit cell a=4.0703 b=4.0703 c=8.0668 alpha=90.00 beta=90.00 gamma=90.00
Space group I4/mmm (No. 139)
One atom of each set of equivalent atoms:
1 Sb 0.0000 0.0000 0.0000 x2
2 Pd 0.0000 0.0000 0.5000 x2
3 Pd 0.0000 0.5000 0.2500 x4

Calculated values
Formation energy from raw total energies (meV/atom): -365.1
Spin magnetization (μB/cell): 0.00

***

Question: Look up the spin magnetization of the fifth one.
Answer: 0.00 μB/cell

***

Question: The highest spin magnetization belongs to which entry?
Answer: number 3

***

Question: formation energy from raw total energies of number 1 (Zr2Pd2S)?
Answer: -738.9 meV/atom